A relaxed structure of KRb2SrPd. Source: Alexandria, functional PBE.

Summary:
crystal system	tetragonal
symmetry	P4/mmm, No. 123
formation energy from the elements	0.014	eV/atom
calculated total energy	-0.0723	Ha/atom
calculated volume	57.235	Å³/atom

a = 6.920 Å, b = 6.920 Å, c = 5.976 Å
α = 90.00°, β = 90.00°, γ = 90.00°
Fractional coordinates of all 5 atoms:
K1 0.000 0.000 0.000
Rb1 0.000 0.500 0.500
Rb2 0.500 0.000 0.500
Sr1 0.500 0.500 0.000
Pd1 0.500 0.500 0.500

***

A relaxed structure of Ce2P4Rh3. Source: Alexandria, functional PBE.

Summary:
crystal system	orthorhombic
symmetry	Cmce, No. 64
formation energy from the elements	-1.015	eV/atom
calculated total energy	-0.2642	Ha/atom
calculated volume	16.479	Å³/atom

a = 7.826 Å, b = 7.826 Å, c = 7.205 Å
α = 90.00°, β = 90.00°, γ = 137.76°
Fractional coordinates of all 18 atoms:
Ce1 0.111 0.889 0.914
Ce2 0.389 0.611 0.414
Ce3 0.611 0.389 0.586
Ce4 0.889 0.111 0.086
P1 0.185 0.815 0.536
P2 0.200 0.300 0.750
P3 0.300 0.200 0.250
P4 0.315 0.685 0.036
P5 0.685 0.315 0.964
P6 0.700 0.800 0.750
P7 0.800 0.700 0.250
P8 0.815 0.185 0.464
Rh1 0.000 0.000 0.500
Rh2 0.036 0.464 0.750
Rh3 0.464 0.036 0.250
Rh4 0.500 0.500 0.000
Rh5 0.536 0.964 0.750
Rh6 0.964 0.536 0.250

***

A relaxed structure of Zr3TiS. Source: Alexandria, functional PBE.

Summary:
energy relative to the elements, uncorrected	0.819	eV per atom
crystal system	cubic
symmetry	Pm-3m, No. 221
calculated total energy	-0.2467	Ha/atom
calculated volume	24.284	Å³/atom

a = 4.952 Å, b = 4.952 Å, c = 4.952 Å
α = 90.00°, β = 90.00°, γ = 90.00°
Fractional coordinates of all 5 atoms:
Zr1 0.000 0.000 0.500
Zr2 0.000 0.500 0.000
Zr3 0.500 0.000 0.000
Ti1 0.000 0.000 0.000
S1 0.500 0.500 0.500

***

A relaxed structure of BaNi12As6. Source: Alexandria, functional PBE.

Summary:
crystal system	trigonal
symmetry	R-3m, No. 166
formation energy from the elements	-0.282	eV/atom
calculated total energy	-0.2022	Ha/atom
calculated volume	15.085	Å³/atom

a = 6.956 Å, b = 6.956 Å, c = 6.956 Å
α = 106.14°, β = 106.14°, γ = 106.14°
Fractional coordinates of all 19 atoms:
Ba1 0.000 0.000 0.000
Ni1 0.156 0.500 0.844
Ni2 0.156 0.844 0.500
Ni3 0.167 0.465 0.465
Ni4 0.465 0.167 0.465
Ni5 0.465 0.465 0.167
Ni6 0.500 0.156 0.844
Ni7 0.500 0.844 0.156
Ni8 0.535 0.535 0.833
Ni9 0.535 0.833 0.535
Ni10 0.833 0.535 0.535
Ni11 0.844 0.156 0.500
Ni12 0.844 0.500 0.156
As1 0.212 0.212 0.614
As2 0.212 0.614 0.212
As3 0.386 0.788 0.788
As4 0.614 0.212 0.212
As5 0.788 0.386 0.788
As6 0.788 0.788 0.386